# 1
Entry from OQMD via LeMat-Bulk: Ta4CdAuC2 after structural relaxation (GGA-PBE).

Cell and atoms, written as CIF:
```
data_Ta4CdAuC2
_cell_length_a 3.147
_cell_length_b 3.147
_cell_length_c 14.300
_cell_angle_alpha 90.00
_cell_angle_beta 90.00
_cell_angle_gamma 120.00
_symmetry_space_group_name_H-M 'P 1'
_symmetry_Int_Tables_number 1
loop_
_symmetry_equiv_pos_as_xyz
'x,y,z'
loop_
_atom_site_label
_atom_site_fract_x
_atom_site_fract_y
_atom_site_fract_z
Au1 0.000 0.000 0.000
C1 0.333 0.667 0.244
C2 0.333 0.667 0.756
Cd1 0.667 0.333 0.500
Ta1 0.667 0.333 0.160
Ta2 0.000 0.000 0.328
Ta3 0.000 0.000 0.672
Ta4 0.667 0.333 0.840
```

Values from the calculation:
The space group is P-6m2 (187). The value obtained for the total magnetization is 0.00 Bohr magnetons per cell. As for the density: 14.3 g/cm³.

---

# 2
Entry from OQMD via LeMat-Bulk: KH24AuC12Cl2O6 after structural relaxation (GGA-PBE).

Cell and atoms, written as CIF:
```
data_KH24AuC12Cl2O6
_cell_length_a 8.708
_cell_length_b 7.749
_cell_length_c 14.428
_cell_angle_alpha 90.00
_cell_angle_beta 112.06
_cell_angle_gamma 90.00
_symmetry_space_group_name_H-M 'P 1'
_symmetry_Int_Tables_number 1
loop_
_symmetry_equiv_pos_as_xyz
'x,y,z'
loop_
_atom_site_label
_atom_site_fract_x
_atom_site_fract_y
_atom_site_fract_z
Au1 0.000 0.000 0.000
Au2 0.000 0.500 0.500
C1 0.643 0.707 0.031
C2 0.733 0.620 0.130
C3 0.404 0.320 0.141
C4 0.383 0.445 0.216
C5 0.818 0.075 0.233
C6 0.999 0.070 0.248
C7 0.001 0.570 0.252
C8 0.182 0.575 0.267
C9 0.617 0.945 0.284
C10 0.596 0.820 0.359
C11 0.267 0.120 0.370
C12 0.357 0.207 0.469
C13 0.643 0.793 0.531
C14 0.733 0.880 0.630
C15 0.404 0.180 0.641
C16 0.383 0.055 0.716
C17 0.818 0.425 0.733
C18 0.999 0.430 0.748
C19 0.001 0.930 0.752
C20 0.182 0.925 0.767
C21 0.617 0.555 0.784
C22 0.596 0.680 0.859
C23 0.267 0.380 0.870
C24 0.357 0.293 0.969
Cl1 0.237 0.839 0.044
Cl2 0.763 0.339 0.456
Cl3 0.237 0.661 0.544
Cl4 0.763 0.161 0.956
H1 0.509 0.713 0.017
H2 0.689 0.840 0.031
H3 0.694 0.484 0.126
H4 0.346 0.194 0.144
H5 0.743 0.049 0.153
H6 0.537 0.298 0.160
H7 0.702 0.685 0.189
H8 0.021 0.153 0.192
H9 0.422 0.575 0.202
H10 0.537 0.906 0.207
H11 0.036 0.937 0.238
H12 0.214 0.704 0.248
H13 0.786 0.204 0.252
H14 0.964 0.437 0.262
H15 0.463 0.406 0.293
H16 0.578 0.075 0.298
H17 0.979 0.653 0.308
H18 0.298 0.185 0.311
H19 0.463 0.798 0.340
H20 0.257 0.549 0.347
H21 0.654 0.694 0.356
H22 0.306 0.984 0.374
H23 0.311 0.340 0.469
H24 0.491 0.213 0.483
H25 0.509 0.787 0.517
H26 0.689 0.660 0.531
H27 0.694 0.016 0.626
H28 0.346 0.306 0.644
H29 0.743 0.451 0.653
H30 0.537 0.202 0.660
H31 0.702 0.815 0.689
H32 0.021 0.347 0.692
H33 0.422 0.925 0.702
H34 0.537 0.594 0.707
H35 0.036 0.563 0.738
H36 0.214 0.796 0.748
H37 0.786 0.296 0.752
H38 0.964 0.063 0.762
H39 0.463 0.094 0.793
H40 0.578 0.425 0.798
H41 0.979 0.847 0.808
H42 0.298 0.315 0.811
H43 0.463 0.702 0.840
H44 0.257 0.951 0.847
H45 0.654 0.806 0.856
H46 0.306 0.516 0.874
H47 0.311 0.160 0.969
H48 0.491 0.287 0.983
K1 0.000 0.500 0.000
K2 0.000 0.000 0.500
O1 0.330 0.394 0.044
O2 0.907 0.630 0.153
O3 0.213 0.448 0.204
O4 0.787 0.948 0.296
O5 0.093 0.130 0.347
O6 0.670 0.894 0.456
O7 0.330 0.106 0.544
O8 0.907 0.870 0.653
O9 0.213 0.052 0.704
O10 0.787 0.552 0.796
O11 0.093 0.370 0.847
O12 0.670 0.606 0.956
```

Values from the calculation:
The space group is P2_1/c (14). As for the density: 2.1 g/cm³.

---

# 3
Entry from OQMD via LeMat-Bulk: H6AuC3S2NCl after structural relaxation (GGA-PBE).

Cell and atoms, written as CIF:
```
data_H6AuC3S2NCl
_cell_length_a 9.896
_cell_length_b 9.896
_cell_length_c 15.350
_cell_angle_alpha 118.35
_cell_angle_beta 118.35
_cell_angle_gamma 35.54
_symmetry_space_group_name_H-M 'P 1'
_symmetry_Int_Tables_number 1
loop_
_symmetry_equiv_pos_as_xyz
'x,y,z'
loop_
_atom_site_label
_atom_site_fract_x
_atom_site_fract_y
_atom_site_fract_z
Au1 0.000 0.000 0.000
Au2 0.415 0.585 0.250
Au3 0.000 0.000 0.500
Au4 0.585 0.415 0.750
C1 0.742 0.890 0.121
C2 0.021 0.504 0.164
C3 0.173 0.075 0.206
C4 0.925 0.827 0.294
C5 0.496 0.979 0.336
C6 0.110 0.258 0.379
C7 0.890 0.742 0.621
C8 0.504 0.021 0.664
C9 0.075 0.173 0.706
C10 0.827 0.925 0.794
C11 0.979 0.496 0.836
C12 0.258 0.110 0.879
Cl1 0.321 0.493 0.080
Cl2 0.507 0.679 0.420
Cl3 0.493 0.321 0.580
Cl4 0.679 0.507 0.920
H1 0.643 0.859 0.067
H2 0.852 0.838 0.082
H3 0.101 0.426 0.100
H4 0.900 0.501 0.140
H5 0.617 0.078 0.154
H6 0.162 0.401 0.224
H7 0.599 0.838 0.276
H8 0.922 0.383 0.346
H9 0.499 0.100 0.360
H10 0.574 0.899 0.400
H11 0.162 0.148 0.418
H12 0.141 0.357 0.433
H13 0.859 0.643 0.567
H14 0.838 0.852 0.582
H15 0.426 0.101 0.600
H16 0.501 0.900 0.640
H17 0.078 0.617 0.654
H18 0.401 0.162 0.724
H19 0.838 0.599 0.776
H20 0.383 0.922 0.846
H21 0.100 0.499 0.860
H22 0.899 0.574 0.900
H23 0.148 0.162 0.918
H24 0.357 0.141 0.933
N1 0.894 0.746 0.199
N2 0.254 0.106 0.301
N3 0.746 0.894 0.699
N4 0.106 0.254 0.801
S1 0.333 0.896 0.110
S2 0.892 0.212 0.162
S3 0.788 0.108 0.338
S4 0.104 0.667 0.390
S5 0.896 0.333 0.610
S6 0.212 0.892 0.662
S7 0.108 0.788 0.838
S8 0.667 0.104 0.890
```

Values from the calculation:
The space group is C2/c (15). As for the density: 3.1 g/cm³.

---

# 4
Entry from OQMD via LeMat-Bulk: H8AuC2S2N4Cl after structural relaxation (GGA-PBE).

Cell and atoms, written as CIF:
```
data_H8AuC2S2N4Cl
_cell_length_a 6.976
_cell_length_b 8.269
_cell_length_c 8.850
_cell_angle_alpha 62.15
_cell_angle_beta 95.88
_cell_angle_gamma 102.66
_symmetry_space_group_name_H-M 'P 1'
_symmetry_Int_Tables_number 1
loop_
_symmetry_equiv_pos_as_xyz
'x,y,z'
loop_
_atom_site_label
_atom_site_fract_x
_atom_site_fract_y
_atom_site_fract_z
Au1 0.000 0.000 0.000
Au2 0.500 0.000 0.000
C1 0.230 0.112 0.281
C2 0.270 0.607 0.281
C3 0.730 0.393 0.719
C4 0.770 0.888 0.719
Cl1 0.750 0.370 0.260
Cl2 0.250 0.630 0.740
H1 0.258 0.289 0.024
H2 0.242 0.687 0.024
H3 0.456 0.326 0.154
H4 0.044 0.520 0.154
H5 0.432 0.167 0.445
H6 0.068 0.389 0.445
H7 0.744 0.041 0.461
H8 0.756 0.498 0.461
H9 0.244 0.502 0.539
H10 0.256 0.959 0.539
H11 0.932 0.611 0.555
H12 0.568 0.833 0.555
H13 0.956 0.480 0.846
H14 0.544 0.674 0.846
H15 0.758 0.313 0.976
H16 0.742 0.711 0.976
N1 0.318 0.256 0.142
N2 0.182 0.602 0.142
N3 0.308 0.080 0.433
N4 0.192 0.487 0.433
N5 0.808 0.513 0.567
N6 0.692 0.920 0.567
N7 0.818 0.398 0.858
N8 0.682 0.744 0.858
S1 0.486 0.759 0.274
S2 0.014 0.966 0.274
S3 0.986 0.034 0.726
S4 0.514 0.241 0.726
```

Values from the calculation:
The space group is C2/c (15). As for the density: 2.9 g/cm³.

---

# 5
Entry from OQMD via LeMat-Bulk: TlH16AuC20S3NCl10 after structural relaxation (GGA-PBE).

Cell and atoms, written as CIF:
```
data_TlH16AuC20S3NCl10
_cell_length_a 8.391
_cell_length_b 11.631
_cell_length_c 16.865
_cell_angle_alpha 94.79
_cell_angle_beta 100.95
_cell_angle_gamma 99.29
_symmetry_space_group_name_H-M 'P 1'
_symmetry_Int_Tables_number 1
loop_
_symmetry_equiv_pos_as_xyz
'x,y,z'
loop_
_atom_site_label
_atom_site_fract_x
_atom_site_fract_y
_atom_site_fract_z
Au1 0.500 0.500 0.000
Au2 0.500 0.500 0.500
C1 0.503 0.676 0.030
C2 0.641 0.764 0.034
C3 0.369 0.715 0.056
C4 0.654 0.881 0.067
C5 0.374 0.831 0.088
C6 0.520 0.914 0.096
C7 0.753 0.352 0.169
C8 0.939 0.395 0.190
C9 0.923 0.645 0.204
C10 0.444 0.479 0.219
C11 0.456 0.351 0.223
C12 0.610 0.746 0.261
C13 0.946 0.751 0.262
C14 0.481 0.673 0.298
C15 0.280 0.147 0.376
C16 0.411 0.084 0.388
C17 0.308 0.264 0.411
C18 0.565 0.138 0.435
C19 0.460 0.322 0.459
C20 0.585 0.254 0.471
C21 0.415 0.746 0.529
C22 0.540 0.678 0.541
C23 0.435 0.862 0.565
C24 0.692 0.736 0.589
C25 0.589 0.916 0.612
C26 0.720 0.853 0.624
C27 0.519 0.327 0.702
C28 0.054 0.249 0.738
C29 0.390 0.254 0.739
C30 0.544 0.649 0.777
C31 0.556 0.521 0.781
C32 0.077 0.355 0.796
C33 0.061 0.605 0.810
C34 0.247 0.648 0.831
C35 0.480 0.086 0.904
C36 0.626 0.169 0.912
C37 0.346 0.119 0.933
C38 0.631 0.285 0.944
C39 0.359 0.236 0.966
C40 0.497 0.324 0.970
Cl1 0.193 0.274 0.004
Cl2 0.187 0.615 0.047
Cl3 0.830 0.982 0.074
Cl4 0.208 0.873 0.121
Cl5 0.537 0.052 0.144
Cl6 0.092 0.081 0.318
Cl7 0.381 0.942 0.345
Cl8 0.146 0.340 0.393
Cl9 0.726 0.063 0.447
Cl10 0.226 0.684 0.466
Cl11 0.774 0.316 0.534
Cl12 0.274 0.937 0.553
Cl13 0.854 0.660 0.607
Cl14 0.619 0.058 0.655
Cl15 0.908 0.919 0.682
Cl16 0.463 0.948 0.856
Cl17 0.792 0.127 0.879
Cl18 0.170 0.018 0.926
Cl19 0.813 0.385 0.953
Cl20 0.807 0.726 0.996
H1 0.727 0.271 0.127
H2 0.983 0.406 0.134
H3 0.689 0.416 0.137
H4 0.989 0.661 0.154
H5 0.402 0.301 0.163
H6 0.517 0.517 0.176
H7 0.793 0.607 0.178
H8 0.314 0.484 0.192
H9 0.618 0.706 0.201
H10 0.002 0.330 0.221
H11 0.576 0.833 0.253
H12 0.358 0.681 0.263
H13 0.386 0.313 0.266
H14 0.068 0.807 0.279
H15 0.428 0.515 0.338
H16 0.490 0.710 0.361
H17 0.510 0.290 0.639
H18 0.572 0.485 0.662
H19 0.932 0.193 0.721
H20 0.614 0.687 0.734
H21 0.642 0.319 0.737
H22 0.424 0.167 0.747
H23 0.998 0.670 0.779
H24 0.382 0.294 0.799
H25 0.686 0.516 0.808
H26 0.207 0.393 0.822
H27 0.483 0.483 0.824
H28 0.598 0.699 0.837
H29 0.011 0.339 0.846
H30 0.311 0.584 0.863
H31 0.017 0.594 0.866
H32 0.273 0.729 0.873
N1 0.498 0.550 0.299
N2 0.502 0.450 0.701
S1 0.663 0.321 0.257
S2 0.015 0.530 0.260
S3 0.818 0.779 0.325
S4 0.182 0.221 0.675
S5 0.985 0.470 0.740
S6 0.337 0.679 0.743
Tl1 0.793 0.529 0.396
Tl2 0.207 0.471 0.604
```

Values from the calculation:
The space group is P-1 (2). As for the density: 2.4 g/cm³.

---

Computed calculated total energy, in the same sequence as the records: -9.143 -5.381 -5.108 -5.401 -5.453 eV/atom.